No. 1
Sr4HfNp3N8: relaxed, PBE.

a = 7.0044 Å, b = 7.1971 Å, c = 7.0045 Å
α = 119.12°, β = 120.00°, γ = 90.00°
Atoms (fractional coordinates):
Sr1 0.5000 0.0000 0.0000
Sr2 0.5000 0.0000 0.5000
Sr3 0.0000 0.0000 0.0000
Sr4 0.0000 0.0000 0.5000
Hf1 0.0000 0.5000 0.0000
Np1 0.5000 0.5000 0.0000
Np2 0.5000 0.5000 0.5000
Np3 0.0000 0.5000 0.5000
N1 0.2286 0.6944 0.9658
N2 0.2286 0.6944 0.4572
N3 0.2682 0.3046 0.5363
N4 0.7372 0.6944 0.9658
N5 0.2628 0.3056 0.0342
N6 0.7318 0.6954 0.4637
N7 0.7714 0.3056 0.5428
N8 0.7714 0.3056 0.0342

Its formation energy without anion corrections is -1106 meV per atom. As for the crystal system: trigonal. The symmetry is R-3m, No. 166.

---

No. 2
Hf2ScCu2: relaxed, PBE.

a = 7.7774 Å, b = 7.7774 Å, c = 3.0520 Å
α = 90.00°, β = 90.00°, γ = 90.00°
Atoms (fractional coordinates):
Sc1 0.0000 0.0000 0.0000
Sc2 0.5000 0.5000 0.0000
Hf1 0.3488 0.8488 0.0000
Hf2 0.8488 0.6512 0.0000
Hf3 0.6512 0.1512 0.0000
Hf4 0.1512 0.3488 0.0000
Cu1 0.1450 0.6450 0.5000
Cu2 0.6450 0.8550 0.5000
Cu3 0.8550 0.3550 0.5000
Cu4 0.3550 0.1450 0.5000

The calculation puts the energy above the most stable polymorph in this dataset at 177 meV/atom. As for the crystal system: tetragonal. The formation energy is 0.087 eV/atom. The symmetry is P4/mbm, No. 127.

---

No. 3
LiAc3Cd4: relaxed, PBE.

a = 3.9803 Å, b = 3.9803 Å, c = 15.6116 Å
α = 90.00°, β = 90.00°, γ = 90.00°
Atoms (fractional coordinates):
Ac1 0.5000 0.5000 0.2342
Ac2 0.5000 0.5000 0.5000
Ac3 0.5000 0.5000 0.7658
Cd1 0.0000 0.0000 0.9044
Cd2 0.0000 0.0000 0.0956
Cd3 0.0000 0.0000 0.3671
Cd4 0.0000 0.0000 0.6329
Li1 0.5000 0.5000 0.0000

As for the crystal system: tetragonal. The formation energy is -0.243 eV/atom. The symmetry is P4/mmm, No. 123.

---

No. 4
PmPrAl2: relaxed, PBE.

a = 3.7571 Å, b = 3.7571 Å, c = 9.5768 Å
α = 78.69°, β = 78.69°, γ = 60.00°
Atoms (fractional coordinates):
Pr1 0.5000 0.5000 0.5000
Al1 0.7490 0.7490 0.7531
Al2 0.2510 0.2510 0.2469
Pm1 0.0000 0.0000 0.0000

As for the crystal system: trigonal. The formation energy is -0.098 eV/atom. The symmetry is R-3m, No. 166.

---

No. 5
TlCdAg2: relaxed, PBE.

a = 4.9515 Å, b = 4.9515 Å, c = 4.9515 Å
α = 60.00°, β = 60.00°, γ = 60.00°
Atoms (fractional coordinates):
Tl1 0.2500 0.2500 0.2500
Ag1 0.0000 0.0000 0.0000
Ag2 0.7500 0.7500 0.7500
Cd1 0.5000 0.5000 0.5000

The calculation puts the energy above the most stable polymorph in this dataset at 63 meV/atom. As for the crystal system: cubic. The formation energy is 0.121 eV/atom. The symmetry is F-43m, No. 216.

---

No. 6
La2Pm4H: relaxed, PBE.

a = 4.9836 Å, b = 4.9836 Å, c = 9.5963 Å
α = 74.95°, β = 74.95°, γ = 90.00°
Atoms (fractional coordinates):
H1 0.0000 0.0000 0.0000
La1 0.6499 0.6499 0.7002
La2 0.3501 0.3501 0.2998
Pm1 0.8511 0.8511 0.2978
Pm2 0.1489 0.1489 0.7022
Pm3 0.0000 0.5000 0.0000
Pm4 0.5000 0.0000 0.0000

As for the crystal system: tetragonal. The symmetry is I4/mmm, No. 139.

---

No. 7
Mn3ReAu: relaxed, PBE.

a = 4.5826 Å, b = 4.5826 Å, c = 4.5826 Å
α = 90.00°, β = 90.00°, γ = 90.00°
Atoms (fractional coordinates):
Re1 0.0000 0.0000 0.0000
Mn1 0.0000 0.5000 0.0000
Mn2 0.0000 0.0000 0.5000
Mn3 0.5000 0.0000 0.0000
Au1 0.5000 0.5000 0.5000

The calculation puts the energy above the most stable polymorph in this dataset at 0 meV/atom. As for the crystal system: cubic. The formation energy is 1.241 eV/atom. The symmetry is Pm-3m, No. 221.

---

No. 8
ErMg6Cu6: relaxed, PBE.

a = 5.2364 Å, b = 6.9780 Å, c = 6.9780 Å
α = 81.37°, β = 67.96°, γ = 67.96°
Atoms (fractional coordinates):
Er1 0.0000 0.0000 0.0000
Mg1 0.3453 0.6547 0.6547
Mg2 0.6547 0.3453 0.3453
Mg3 0.0000 0.3374 0.6626
Mg4 0.0000 0.6626 0.3374
Mg5 0.3123 0.1877 0.1877
Mg6 0.6877 0.8123 0.8123
Cu1 0.0000 0.5000 0.0000
Cu2 0.5000 0.5000 0.0000
Cu3 0.0000 0.0000 0.5000
Cu4 0.5000 0.0000 0.5000
Cu5 0.5000 0.7708 0.2292
Cu6 0.5000 0.2292 0.7708

As for the crystal system: orthorhombic. The formation energy is -0.115 eV/atom. The symmetry is Immm, No. 71.

---

No. 9
ScMnCu2: relaxed, PBE.

a = 8.6093 Å, b = 8.6093 Å, c = 8.6093 Å
α = 19.35°, β = 19.35°, γ = 19.35°
Atoms (fractional coordinates):
Cu1 0.9935 0.9935 0.9935
Cu2 0.2512 0.2512 0.2512
Mn1 0.5059 0.5059 0.5059
Sc1 0.7494 0.7494 0.7494

As for the crystal system: trigonal. The formation energy is 0.240 eV/atom. The symmetry is R3m, No. 160.

---

No. 10
La2AlW: relaxed, PBE.

a = 3.6058 Å, b = 3.6058 Å, c = 8.2807 Å
α = 90.00°, β = 90.00°, γ = 90.00°
Atoms (fractional coordinates):
Al1 0.5000 0.5000 0.6864
W1 0.0000 0.0000 0.5785
La1 0.0000 0.0000 0.9110
La2 0.5000 0.5000 0.3241

As for the crystal system: tetragonal. The formation energy is 0.175 eV/atom. The symmetry is P4mm, No. 99.

---

No. 11
Li2WAu: relaxed, PBE.

a = 6.9416 Å, b = 6.9416 Å, c = 5.5646 Å
α = 51.41°, β = 51.41°, γ = 90.00°
Atoms (fractional coordinates):
Au1 0.0000 0.0000 0.0000
Au2 0.7500 0.2500 0.5000
W1 0.5000 0.5000 0.0000
W2 0.2500 0.7500 0.5000
Li1 0.6463 0.1250 0.2500
Li2 0.1037 0.6250 0.2500
Li3 0.3750 0.3537 0.7500
Li4 0.8750 0.8963 0.7500

The calculation puts the energy above the most stable polymorph in this dataset at 681 meV/atom. As for the crystal system: tetragonal. The formation energy is 0.772 eV/atom. The symmetry is I-42d, No. 122.

---

No. 12
Zn2Sb2Br: relaxed, PBE.

a = 8.4192 Å, b = 8.4192 Å, c = 3.3062 Å
α = 90.00°, β = 90.00°, γ = 90.00°
Atoms (fractional coordinates):
Sb1 0.1416 0.6416 0.5000
Sb2 0.6416 0.8584 0.5000
Sb3 0.8584 0.3584 0.5000
Sb4 0.3584 0.1416 0.5000
Zn1 0.3442 0.8442 0.0000
Zn2 0.8442 0.6558 0.0000
Zn3 0.6558 0.1558 0.0000
Zn4 0.1558 0.3442 0.0000
Br1 0.0000 0.0000 0.0000
Br2 0.5000 0.5000 0.0000

The calculation puts the energy above the most stable polymorph in this dataset at 48 meV/atom. Its formation energy without anion corrections is 140 meV per atom. As for the crystal system: tetragonal. The symmetry is P4/mbm, No. 127.

---

No. 13
TbY2Rh2: relaxed, PBE.

a = 4.3521 Å, b = 5.5628 Å, c = 11.2171 Å
α = 113.13°, β = 90.00°, γ = 90.00°
Atoms (fractional coordinates):
Tb1 0.2500 0.8034 0.2071
Tb2 0.7500 0.1966 0.7929
Y1 0.2500 0.7675 0.8796
Y2 0.7500 0.2325 0.1204
Y3 0.2500 0.2810 0.5311
Y4 0.7500 0.7190 0.4689
Rh1 0.2500 0.8868 0.6451
Rh2 0.7500 0.1132 0.3549
Rh3 0.2500 0.3113 0.9706
Rh4 0.7500 0.6887 0.0294

The calculation puts the energy above the most stable polymorph in this dataset at 0 meV/atom. As for the crystal system: monoclinic. The formation energy is -0.691 eV/atom. The symmetry is P2_1/m, No. 11.

---

no.,calculated total energy (eV per atom)
1,-8.737
2,-6.799
3,-2.480
4,-4.351
5,-2.125
6,-4.544
7,-7.406
8,-3.092
9,-5.683
10,-6.462
11,-4.242
12,-2.353
13,-7.143